# PBE KSbSe, optimized geometry
# * raw formation energy: -0.688 eV/atom
# * offset from the most stable computed form: 0 meV/atom
# * crystal system: monoclinic
data_KSbSe
_cell_length_a 4.9169
_cell_length_b 4.5458
_cell_length_c 9.5487
_cell_angle_alpha 90.00
_cell_angle_beta 96.93
_cell_angle_gamma 90.00
_space_group_name_H-M_alt 'P 1'
_space_group_IT_number 1
loop_
_space_group_symop_operation_xyz
'x,y,z'
loop_
_atom_site_label
_atom_site_fract_x
_atom_site_fract_y
_atom_site_fract_z
K1 0.1962 0.0000 0.3384
K2 0.8038 0.5000 0.6616
Sb1 0.3076 0.9902 0.9661
Sb2 0.6924 0.4902 0.0339
Se1 0.3093 0.9999 0.6968
Se2 0.6907 0.4999 0.3032